--- w ---
Here is an optimized crystal structure of Sm2ThRu from the Alexandria database. Energies are from PBE-GGA.

The structure in CIF format:
```
data_Sm2ThRu
_space_group_name_H-M_alt 'C m c m'
_space_group_IT_number 63
_space_group_name_Hall '-C 2c 2'
_cell_length_a 3.854
_cell_length_b 12.099
_cell_length_c 9.845
_cell_angle_alpha 90.00
_cell_angle_beta 90.00
_cell_angle_gamma 90.00
loop_
_atom_site_label
_atom_site_type_symbol
_atom_site_fract_x
_atom_site_fract_y
_atom_site_fract_z
Sm1 Sm 0.000 0.140 0.069
Th1 Th 0.000 0.415 0.250
Ru1 Ru 0.000 0.240 0.750
```

## Properties
Theoretical density ... 9.171 Mg/m³
Spin magnetization ... 0.000 Bohr magnetons per cell
Crystal system ... orthorhombic


--- x ---
Here is an optimized crystal structure of Sm2ThRu from the Alexandria database. Energies are from PBE-GGA.

The structure in CIF format:
```
data_Sm2ThRu
_space_group_name_H-M_alt 'P n m a'
_space_group_IT_number 62
_cell_length_a 7.278
_cell_length_b 9.858
_cell_length_c 6.453
_cell_angle_alpha 90.00
_cell_angle_beta 90.00
_cell_angle_gamma 90.00
loop_
_space_group_symop_operation_xyz
'x,y,z'
'-x,-y,-z'
'-x+1/2,-y,z+1/2'
'x+1/2,y,-z+1/2'
'x+1/2,-y+1/2,-z+1/2'
'-x+1/2,y+1/2,z+1/2'
'-x,y+1/2,-z'
'x,-y+1/2,z'
loop_
_atom_site_label
_atom_site_type_symbol
_atom_site_fract_x
_atom_site_fract_y
_atom_site_fract_z
Sm1 Sm 0.174 0.067 0.172
Th1 Th 0.050 0.250 0.661
Ru1 Ru 0.132 0.750 0.976
```

## Properties
Theoretical density ... 9.094 Mg/m³
Spin magnetization ... 0.000 Bohr magnetons per cell
Crystal system ... orthorhombic


--- y ---
Here is an optimized crystal structure of Sm2ThRu from the Alexandria database. Energies are from PBE-GGA.

The structure in CIF format:
```
data_Sm2ThRu
_space_group_name_H-M_alt 'R -3 m'
_space_group_IT_number 166
_space_group_name_Hall '-R 3 2"'
_cell_length_a 3.4832
_cell_length_b 3.4832
_cell_length_c 32.8185
_cell_angle_alpha 90.00
_cell_angle_beta 90.00
_cell_angle_gamma 120.00
loop_
_atom_site_label
_atom_site_type_symbol
_atom_site_fract_x
_atom_site_fract_y
_atom_site_fract_z
Sm1 Sm 0.0000 0.0000 0.1059
Th1 Th 0.0000 0.0000 0.0000
Ru1 Ru 0.0000 0.0000 0.5000
```

## Properties
Theoretical density ... 9.157 Mg/m³
Spin magnetization ... 0.004 Bohr magnetons per cell
Crystal system ... trigonal


Short version: y is the least stable of them.


--- w ---
Here is an optimized crystal structure of SmTh2Ru from the Alexandria database. Energies are from PBE-GGA.

The structure in CIF format:
```
data_SmTh2Ru
_space_group_name_H-M_alt 'P n m a'
_space_group_IT_number 62
_cell_length_a 7.254
_cell_length_b 9.842
_cell_length_c 6.386
_cell_angle_alpha 90.00
_cell_angle_beta 90.00
_cell_angle_gamma 90.00
loop_
_space_group_symop_operation_xyz
'x,y,z'
'-x,-y,-z'
'-x+1/2,-y,z+1/2'
'x+1/2,y,-z+1/2'
'x+1/2,-y+1/2,-z+1/2'
'-x+1/2,y+1/2,z+1/2'
'-x,y+1/2,-z'
'x,-y+1/2,z'
loop_
_atom_site_label
_atom_site_type_symbol
_atom_site_fract_x
_atom_site_fract_y
_atom_site_fract_z
Sm1 Sm 0.039 0.250 0.145
Th1 Th 0.172 0.062 0.662
Ru1 Ru 0.112 0.750 0.379
```

## Properties
Theoretical density ... 10.423 Mg/m³
Spin magnetization ... 0.000 Bohr magnetons per cell
Crystal system ... orthorhombic


--- x ---
Here is an optimized crystal structure of SmTh2Ru from the Alexandria database. Energies are from PBE-GGA.

The structure in CIF format:
```
data_SmTh2Ru
_space_group_name_H-M_alt 'R -3 m'
_space_group_IT_number 166
_space_group_name_Hall '-R 3 2"'
_cell_length_a 3.8376
_cell_length_b 3.8376
_cell_length_c 30.7189
_cell_angle_alpha 90.00
_cell_angle_beta 90.00
_cell_angle_gamma 120.00
loop_
_atom_site_label
_atom_site_type_symbol
_atom_site_fract_x
_atom_site_fract_y
_atom_site_fract_z
Sm1 Sm 0.0000 0.0000 0.0000
Th1 Th 0.0000 0.0000 0.1117
Ru1 Ru 0.0000 0.0000 0.5000
```

## Properties
Theoretical density ... 9.097 Mg/m³
Spin magnetization ... 0.000 Bohr magnetons per cell
Crystal system ... trigonal


Short version: x is the least stable of them.


--- w ---
Here is an optimized crystal structure of SmTh2Ru from the Alexandria database. Energies are from PBE-GGA.

The structure in CIF format:
```
data_SmTh2Ru
_space_group_name_H-M_alt 'P 4/m m m'
_space_group_IT_number 123
_space_group_name_Hall '-P 4 2'
_cell_length_a 3.634
_cell_length_b 3.634
_cell_length_c 8.397
_cell_angle_alpha 90.00
_cell_angle_beta 90.00
_cell_angle_gamma 90.00
loop_
_atom_site_label
_atom_site_type_symbol
_atom_site_fract_x
_atom_site_fract_y
_atom_site_fract_z
Sm1 Sm 0.000 0.000 0.000
Th1 Th 0.500 0.500 0.303
Ru1 Ru 0.000 0.000 0.500
```

## Properties
Theoretical density ... 10.714 Mg/m³
Spin magnetization ... 0.000 Bohr magnetons per cell
Crystal system ... tetragonal


--- x ---
Here is an optimized crystal structure of SmTh2Ru from the Alexandria database. Energies are from PBE-GGA.

The structure in CIF format:
```
data_SmTh2Ru
_space_group_name_H-M_alt 'R 3 m'
_space_group_IT_number 160
_space_group_name_Hall 'R 3 -2"'
_cell_length_a 3.9645
_cell_length_b 3.9645
_cell_length_c 27.2002
_cell_angle_alpha 90.00
_cell_angle_beta 90.00
_cell_angle_gamma 120.00
loop_
_atom_site_label
_atom_site_type_symbol
_atom_site_fract_x
_atom_site_fract_y
_atom_site_fract_z
Sm1 Sm 0.0000 0.0000 0.0000
Th1 Th 0.0000 0.0000 0.2262
Th2 Th 0.0000 0.0000 0.4399
Ru1 Ru 0.0000 0.0000 0.8340
```

## Properties
Theoretical density ... 9.627 Mg/m³
Spin magnetization ... 0.000 Bohr magnetons per cell
Crystal system ... trigonal


Short version: w is the least stable of them.


--- w ---
Here is an optimized crystal structure of Sm3Tl2Ru from the Alexandria database. Energies are from PBE-GGA.

The structure in CIF format:
```
data_Sm3Tl2Ru
_space_group_name_H-M_alt 'P 1 21/m 1'
_space_group_IT_number 11
_cell_length_a 5.411
_cell_length_b 7.220
_cell_length_c 8.962
_cell_angle_alpha 90.00
_cell_angle_beta 107.47
_cell_angle_gamma 90.00
loop_
_space_group_symop_operation_xyz
'x,y,z'
'-x,-y,-z'
'-x,y+1/2,-z'
'x,-y+1/2,z'
loop_
_atom_site_label
_atom_site_type_symbol
_atom_site_fract_x
_atom_site_fract_y
_atom_site_fract_z
Sm1 Sm 0.002 0.250 0.000
Sm2 Sm 0.369 0.000 0.738
Tl1 Tl 0.193 0.250 0.386
Tl2 Tl 0.193 0.750 0.386
Ru1 Ru 0.498 0.750 0.000
```

## Properties
Theoretical density ... 9.555 Mg/m³
Spin magnetization ... 0.000 Bohr magnetons per cell
Crystal system ... monoclinic


--- x ---
Here is an optimized crystal structure of Sm3Tl2Ru from the Alexandria database. Energies are from PBE-GGA.

The structure in CIF format:
```
data_Sm3Tl2Ru
_space_group_name_H-M_alt 'C 1 2/m 1'
_space_group_IT_number 12
_cell_length_a 7.938
_cell_length_b 10.922
_cell_length_c 8.140
_cell_angle_alpha 90.00
_cell_angle_beta 99.68
_cell_angle_gamma 90.00
loop_
_space_group_symop_operation_xyz
'x,y,z'
'-x,-y,-z'
'-x,y,-z'
'x,-y,z'
'x+1/2,y+1/2,z'
'-x+1/2,-y+1/2,-z'
'-x+1/2,y+1/2,-z'
'x+1/2,-y+1/2,z'
loop_
_atom_site_label
_atom_site_type_symbol
_atom_site_fract_x
_atom_site_fract_y
_atom_site_fract_z
Sm1 Sm 0.170 0.000 0.167
Sm2 Sm 0.226 0.180 0.776
Tl1 Tl 0.000 0.000 0.500
Tl2 Tl 0.000 0.363 0.500
Tl3 Tl 0.000 0.500 0.000
Ru1 Ru 0.000 0.210 0.000
```

## Properties
Theoretical density ... 9.176 Mg/m³
Spin magnetization ... 0.000 Bohr magnetons per cell
Crystal system ... monoclinic


Short version: x is the least stable of them.


--- w ---
Here is an optimized crystal structure of Sm6TlRu2 from the Alexandria database. Energies are from PBE-GGA.

The structure in CIF format:
```
data_Sm6TlRu2
_space_group_name_H-M_alt 'I m m m'
_space_group_IT_number 71
_space_group_name_Hall '-I 2 2'
_cell_length_a 9.563
_cell_length_b 9.859
_cell_length_c 10.576
_cell_angle_alpha 90.00
_cell_angle_beta 90.00
_cell_angle_gamma 90.00
loop_
_atom_site_label
_atom_site_type_symbol
_atom_site_fract_x
_atom_site_fract_y
_atom_site_fract_z
Sm1 Sm 0.000 0.207 0.237
Sm2 Sm 0.188 0.500 0.171
Sm3 Sm 0.214 0.317 0.500
Tl1 Tl 0.000 0.000 0.000
Tl2 Tl 0.000 0.000 0.500
Ru1 Ru 0.000 0.330 0.000
Ru2 Ru 0.000 0.500 0.376
```

## Properties
Theoretical density ... 8.717 Mg/m³
Spin magnetization ... 0.000 Bohr magnetons per cell
Crystal system ... orthorhombic


--- x ---
Here is an optimized crystal structure of Sm6TlRu2 from the Alexandria database. Energies are from PBE-GGA.

The structure in CIF format:
```
data_Sm6TlRu2
_space_group_name_H-M_alt 'C 1 2/m 1'
_space_group_IT_number 12
_cell_length_a 10.371
_cell_length_b 5.127
_cell_length_c 9.430
_cell_angle_alpha 90.00
_cell_angle_beta 102.28
_cell_angle_gamma 90.00
loop_
_space_group_symop_operation_xyz
'x,y,z'
'-x,-y,-z'
'-x,y,-z'
'x,-y,z'
'x+1/2,y+1/2,z'
'-x+1/2,-y+1/2,-z'
'-x+1/2,y+1/2,-z'
'x+1/2,-y+1/2,z'
loop_
_atom_site_label
_atom_site_type_symbol
_atom_site_fract_x
_atom_site_fract_y
_atom_site_fract_z
Sm1 Sm 0.034 0.000 0.347
Sm2 Sm 0.165 0.500 0.880
Sm3 Sm 0.208 0.500 0.340
Tl1 Tl 0.000 0.000 0.000
Ru1 Ru 0.116 0.500 0.597
```

## Properties
Theoretical density ... 8.871 Mg/m³
Spin magnetization ... 0.000 Bohr magnetons per cell
Crystal system ... monoclinic


Short version: x is the least stable of them.


--- w ---
Here is an optimized crystal structure of Sm4TlRu from the Alexandria database. Energies are from PBE-GGA.

The structure in CIF format:
```
data_Sm4TlRu
_space_group_name_H-M_alt 'F -4 3 m'
_space_group_IT_number 216
_space_group_name_Hall 'F -4 2 3'
_cell_length_a 13.922
_cell_length_b 13.922
_cell_length_c 13.922
_cell_angle_alpha 90.00
_cell_angle_beta 90.00
_cell_angle_gamma 90.00
loop_
_atom_site_label
_atom_site_type_symbol
_atom_site_fract_x
_atom_site_fract_y
_atom_site_fract_z
Sm1 Sm 0.000 0.000 0.191
Sm2 Sm 0.058 0.250 0.750
Sm3 Sm 0.097 0.097 0.403
Tl1 Tl 0.166 0.166 0.166
Ru1 Ru 0.112 0.112 0.612
```

## Properties
Theoretical density ... 8.930 Mg/m³
Spin magnetization ... 0.000 Bohr magnetons per cell
Crystal system ... cubic


--- x ---
Here is an optimized crystal structure of Sm4TlRu from the Alexandria database. Energies are from PBE-GGA.

The structure in CIF format:
```
data_Sm4TlRu
_space_group_name_H-M_alt 'P -1'
_space_group_IT_number 2
_cell_length_a 6.275
_cell_length_b 7.542
_cell_length_c 8.472
_cell_angle_alpha 112.79
_cell_angle_beta 103.13
_cell_angle_gamma 96.04
loop_
_space_group_symop_operation_xyz
'x,y,z'
'-x,-y,-z'
loop_
_atom_site_label
_atom_site_type_symbol
_atom_site_fract_x
_atom_site_fract_y
_atom_site_fract_z
Sm1 Sm 0.035 0.286 0.465
Sm2 Sm 0.120 0.201 0.855
Sm3 Sm 0.394 0.634 0.287
Sm4 Sm 0.442 0.090 0.240
Tl1 Tl 0.226 0.658 0.893
Ru1 Ru 0.254 0.998 0.498
```

## Properties
Theoretical density ... 8.567 Mg/m³
Spin magnetization ... 0.000 Bohr magnetons per cell
Crystal system ... triclinic


Short version: x is the least stable of them.


--- w ---
Here is an optimized crystal structure of Sm4Tl2Ru from the Alexandria database. Energies are from PBE-GGA.

The structure in CIF format:
```
data_Sm4Tl2Ru
_space_group_name_H-M_alt 'C 1 2/m 1'
_space_group_IT_number 12
_cell_length_a 11.511
_cell_length_b 4.781
_cell_length_c 8.875
_cell_angle_alpha 90.00
_cell_angle_beta 124.39
_cell_angle_gamma 90.00
loop_
_space_group_symop_operation_xyz
'x,y,z'
'-x,-y,-z'
'-x,y,-z'
'x,-y,z'
'x+1/2,y+1/2,z'
'-x+1/2,-y+1/2,-z'
'-x+1/2,y+1/2,-z'
'x+1/2,-y+1/2,z'
loop_
_atom_site_label
_atom_site_type_symbol
_atom_site_fract_x
_atom_site_fract_y
_atom_site_fract_z
Sm1 Sm 0.070 0.000 0.353
Sm2 Sm 0.166 0.500 0.053
Tl1 Tl 0.159 0.500 0.672
Ru1 Ru 0.000 0.000 0.000
```

## Properties
Theoretical density ... 9.155 Mg/m³
Spin magnetization ... 0.000 Bohr magnetons per cell
Crystal system ... monoclinic


--- x ---
Here is an optimized crystal structure of Sm4Tl2Ru from the Alexandria database. Energies are from PBE-GGA.

The structure in CIF format:
```
data_Sm4Tl2Ru
_space_group_name_H-M_alt 'P 1 2/m 1'
_space_group_IT_number 10
_cell_length_a 6.674
_cell_length_b 3.703
_cell_length_c 9.283
_cell_angle_alpha 90.00
_cell_angle_beta 110.61
_cell_angle_gamma 90.00
loop_
_space_group_symop_operation_xyz
'x,y,z'
'-x,-y,-z'
'-x,y,-z'
'x,-y,z'
loop_
_atom_site_label
_atom_site_type_symbol
_atom_site_fract_x
_atom_site_fract_y
_atom_site_fract_z
Sm1 Sm 0.127 0.000 0.256
Sm2 Sm 0.321 0.500 0.652
Tl1 Tl 0.264 0.500 0.999
Ru1 Ru 0.000 0.000 0.500
```

## Properties
Theoretical density ... 8.593 Mg/m³
Spin magnetization ... 0.000 Bohr magnetons per cell
Crystal system ... monoclinic


Short version: x is the least stable of them.


--- w ---
Here is an optimized crystal structure of Sm6Tl2Ru from the Alexandria database. Energies are from PBE-GGA.

The structure in CIF format:
```
data_Sm6Tl2Ru
_space_group_name_H-M_alt 'I m m m'
_space_group_IT_number 71
_space_group_name_Hall '-I 2 2'
_cell_length_a 5.351
_cell_length_b 7.334
_cell_length_c 14.862
_cell_angle_alpha 90.00
_cell_angle_beta 90.00
_cell_angle_gamma 90.00
loop_
_atom_site_label
_atom_site_type_symbol
_atom_site_fract_x
_atom_site_fract_y
_atom_site_fract_z
Sm1 Sm 0.000 0.224 0.000
Sm2 Sm 0.000 0.257 0.349
Tl1 Tl 0.000 0.500 0.168
Ru1 Ru 0.000 0.500 0.500
```

## Properties
Theoretical density ... 8.039 Mg/m³
Spin magnetization ... 0.000 Bohr magnetons per cell
Crystal system ... orthorhombic


--- x ---
Here is an optimized crystal structure of Sm6Tl2Ru from the Alexandria database. Energies are from PBE-GGA.

The structure in CIF format:
```
data_Sm6Tl2Ru
_space_group_name_H-M_alt 'A m m 2'
_space_group_IT_number 38
_cell_length_a 3.900
_cell_length_b 15.221
_cell_length_c 8.856
_cell_angle_alpha 90.00
_cell_angle_beta 90.00
_cell_angle_gamma 90.00
loop_
_space_group_symop_operation_xyz
'x,y,z'
'-x,-y,z'
'-x,y,z'
'x,-y,z'
'x,y+1/2,z+1/2'
'-x,-y+1/2,z+1/2'
'-x,y+1/2,z+1/2'
'x,-y+1/2,z+1/2'
loop_
_atom_site_label
_atom_site_type_symbol
_atom_site_fract_x
_atom_site_fract_y
_atom_site_fract_z
Sm1 Sm 0.000 0.000 0.000
Sm2 Sm 0.000 0.117 0.635
Sm3 Sm 0.500 0.000 0.359
Sm4 Sm 0.500 0.196 0.951
Tl1 Tl 0.000 0.168 0.255
Ru1 Ru 0.500 0.000 0.768
```

## Properties
Theoretical density ... 8.919 Mg/m³
Spin magnetization ... 0.000 Bohr magnetons per cell
Crystal system ... orthorhombic


Short version: w is the least stable of them.